Model one:
Entry from Alexandria via LeMat-Bulk: a relaxed structure of TmBi2Pb (PBE).

Unit cell a=4.2069 b=4.2069 c=6.8068 alpha=90.00 beta=90.00 gamma=90.00
With the nearest neighbours (Å) after each atom.
Sites, in units of the cell vectors:
Pb (0.5000, 0.5000, 0.5000)  2 Tm 3.40, 8 Bi 3.49
Tm (0.5000, 0.5000, 0.0000)  8 Bi 3.37, 2 Pb 3.40
Bi (0.0000, 0.0000, 0.7675)  1 Bi 3.17, 4 Tm 3.37, 4 Pb 3.49
Bi (0.0000, 0.0000, 0.2325)  1 Bi 3.17, 4 Tm 3.37, 4 Pb 3.49

***

Model two:
Entry from Alexandria via LeMat-Bulk: a relaxed structure of TmBi2Pb (PBE).

Unit cell a=5.5808 b=5.5808 c=5.5808 alpha=60.00 beta=60.00 gamma=60.00
With the nearest neighbours (Å) after each atom.
Sites, in units of the cell vectors:
Pb (0.0000, 0.0000, 0.0000)  8 Bi 3.42
Tm (0.5000, 0.5000, 0.5000)  8 Bi 3.42
Bi (0.2500, 0.2500, 0.2500)  4 Tm 3.42, 4 Pb 3.42
Bi (0.7500, 0.7500, 0.7500)  4 Pb 3.42, 4 Tm 3.42

***

Model three:
Entry from Alexandria via LeMat-Bulk: a relaxed structure of TmBi2Pb (PBE).

Unit cell a=4.4537 b=4.4537 c=8.2340 alpha=74.31 beta=74.31 gamma=60.00
With the nearest neighbours (Å) after each atom.
Sites, in units of the cell vectors:
Pb (0.5000, 0.5000, 0.5000)  6 Bi 3.32
Tm (0.0000, 0.0000, 0.0000)  6 Bi 3.14
Bi (0.2563, 0.2563, 0.2311)  3 Tm 3.14, 3 Pb 3.32
Bi (0.7437, 0.7437, 0.7689)  3 Tm 3.14, 3 Pb 3.32

***

The computed energies, referenced to the most stable structure and given in eV/atom, are model one 0.000; model two 0.105; model three 0.049.

***

Model one:
Entry from Alexandria via LeMat-Bulk: a relaxed structure of TmBi2Pb (PBE).

Unit cell a=4.7089 b=4.7089 c=7.6822 alpha=72.15 beta=72.15 gamma=60.00
With the nearest neighbours (Å) after each atom.
Sites, in units of the cell vectors:
Tm (0.6679, 0.6679, 0.9964)  6 Bi 3.15-3.16
Bi (0.0748, 0.0748, 0.7756)  3 Tm 3.15, 3 Pb 3.33
Bi (0.2597, 0.2597, 0.2210)  3 Tm 3.16, 3 Pb 3.41
Pb (0.4976, 0.4976, 0.5071)  6 Bi 3.33-3.41, 1 Tm 3.67

***

Model two:
Entry from Alexandria via LeMat-Bulk: a relaxed structure of TmBi2Pb (PBE).

Unit cell a=6.8349 b=6.8351 c=6.8349 alpha=74.98 beta=75.61 gamma=119.49
With the nearest neighbours (Å) after each atom.
Sites, in units of the cell vectors:
Tm (0.0001, 0.2500, 0.7499)  8 Bi 3.41-3.42, 2 Pb 3.44
Tm (0.9999, 0.7500, 0.2501)  8 Bi 3.41-3.42, 2 Pb 3.44
Bi (0.5015, 0.2511, 0.7497)  4 Tm 3.41-3.42, 4 Pb 3.42, 2 Bi 3.44
Bi (0.0008, 0.7511, 0.7504)  4 Tm 3.41-3.42, 4 Pb 3.42, 2 Bi 3.44
Bi (0.9992, 0.2489, 0.2496)  4 Tm 3.41-3.42, 4 Pb 3.42, 2 Bi 3.44
Bi (0.4985, 0.7489, 0.2503)  4 Tm 3.41-3.42, 4 Pb 3.42, 2 Bi 3.44
Pb (0.5000, 0.2500, 0.2501)  8 Bi 3.42, 2 Tm 3.44
Pb (0.5000, 0.7500, 0.7499)  8 Bi 3.42, 2 Tm 3.44

***

The computed energies, referenced to the most stable structure and given in eV/atom, are model one 0.047; model two 0.000.

***

Model one:
Entry from Alexandria via LeMat-Bulk: a relaxed structure of TmBiPb (PBE).

Unit cell a=3.4120 b=3.4120 c=8.8264 alpha=101.14 beta=101.14 gamma=90.00
With the nearest neighbours (Å) after each atom.
Sites, in units of the cell vectors:
Pb (0.1369, 0.1369, 0.2737)  1 Bi 3.19, 4 Tm 3.24, 4 Pb 3.41
Tm (0.7639, 0.7639, 0.5279)  1 Bi 3.15, 4 Pb 3.24, 4 Tm 3.41
Bi (0.9492, 0.9492, 0.8984)  1 Tm 3.15, 1 Pb 3.19, 4 Bi 3.41

***

Model two:
Entry from Alexandria via LeMat-Bulk: a relaxed structure of TmBiPb (PBE).

Unit cell a=3.3494 b=5.5819 c=5.5819 alpha=120.00 beta=90.00 gamma=90.00
With the nearest neighbours (Å) after each atom.
Sites, in units of the cell vectors:
Pb (0.8311, 0.6667, 0.3333)  3 Bi 3.22, 2 Pb 3.35
Tm (0.3342, 0.3333, 0.6667)  2 Tm 3.35, 6 Pb 3.63-3.64, 6 Bi 3.63
Bi (0.8347, 0.0000, 0.0000)  3 Pb 3.22, 2 Bi 3.35

***

Model three:
Entry from Alexandria via LeMat-Bulk: a relaxed structure of TmBiPb (PBE).

Unit cell a=4.2310 b=4.2310 c=10.5262 alpha=90.00 beta=90.00 gamma=90.00
With the nearest neighbours (Å) after each atom.
Sites, in units of the cell vectors:
Tm (0.0000, 0.5000, 0.6111)  5 Bi 3.12-3.22, 1 Pb 3.28
Tm (0.5000, 0.0000, 0.3889)  5 Bi 3.12-3.22, 1 Pb 3.28
Bi (0.5000, 0.0000, 0.6949)  5 Tm 3.12-3.22
Bi (0.0000, 0.5000, 0.3051)  5 Tm 3.12-3.22
Pb (0.0000, 0.5000, 0.9227)  1 Tm 3.28, 4 Pb 3.41
Pb (0.5000, 0.0000, 0.0773)  1 Tm 3.28, 4 Pb 3.41

***

The computed energies, referenced to the most stable structure and given in eV/atom, are model one 0.352; model two 0.170; model three 0.000.

***

Model one:
Entry from Alexandria via LeMat-Bulk: a relaxed structure of UBi2Pb (PBE).

Unit cell a=4.3276 b=5.1867 c=5.1867 alpha=90.00 beta=90.00 gamma=90.00
With the nearest neighbours (Å) after each atom.
Sites, in units of the cell vectors:
Pb (0.5000, 0.0000, 0.0000)  8 Bi 3.38, 4 U 3.67
U (0.5000, 0.5000, 0.5000)  8 Bi 3.38, 4 Pb 3.67
Bi (0.0000, 0.0000, 0.5000)  4 U 3.38, 4 Pb 3.38, 4 Bi 3.67
Bi (0.0000, 0.5000, 0.0000)  4 Pb 3.38, 4 U 3.38, 4 Bi 3.67

***

Model two:
Entry from Alexandria via LeMat-Bulk: a relaxed structure of UBi2Pb (PBE).

Unit cell a=4.5604 b=4.5604 c=8.2171 alpha=73.89 beta=73.89 gamma=60.00
With the nearest neighbours (Å) after each atom.
Sites, in units of the cell vectors:
U (0.6673, 0.6673, 0.9981)  6 Bi 3.17-3.18
Bi (0.0767, 0.0767, 0.7699)  3 U 3.18, 3 Pb 3.34
Bi (0.2583, 0.2583, 0.2251)  3 U 3.17, 3 Pb 3.43
Pb (0.4977, 0.4977, 0.5069)  6 Bi 3.34-3.43

***

The computed energies, referenced to the most stable structure and given in eV/atom, are model one 0.000; model two 0.146.